Here is a relaxed NbAg2Te crystal from Alexandria via LeMat-Bulk. Energies are from PBE-GGA.

* total magnetization: 0.0 μB per formula unit
* raw formation energy: 0.416 eV per atom
* volume: 171.28 Å³/cell
* E_tot: -4.3129 eV per atom
* space group: I-42d (122)

Cell lengths 6.2290, 6.2290, 6.2290 Å; angles 101.10, 101.10, 127.94 degrees
Fractional coordinates of all 8 atoms:
Nb 0.0000 0.0000 0.0000
Nb 0.7500 0.2500 0.5000
Ag 0.1265 0.6250 0.0015
Ag 0.3750 0.3765 0.5015
Ag 0.6235 0.1250 0.9985
Ag 0.8750 0.8735 0.4985
Te 0.2500 0.7500 0.5000
Te 0.5000 0.5000 0.0000

Here is a relaxed CuSiH8O4F6 crystal from Alexandria via LeMat-Bulk. Energies are from PBE-GGA.

* total magnetization: 1.1 μB per formula unit
* volume: 376.20 Å³/cell
* E_tot: -5.0453 eV per atom
* space group: P2_1/c (14)

Cell lengths 6.7725, 9.4646, 6.2475 Å; angles 90.00, 110.04, 90.00 degrees
Fractional coordinates of all 40 atoms:
Cu 0.0000 0.0000 0.0000
Cu 0.0000 0.5000 0.5000
Si 0.5000 0.0000 0.5000
Si 0.5000 0.5000 0.0000
H 0.0404 0.2126 0.2841
H 0.0404 0.2874 0.7841
H 0.1918 0.7107 0.3897
H 0.1918 0.7893 0.8897
H 0.2410 0.0975 0.7949
H 0.2410 0.4025 0.2949
H 0.3113 0.1486 0.0578
H 0.3113 0.3514 0.5578
H 0.6887 0.6486 0.4422
H 0.6887 0.8514 0.9422
H 0.7590 0.5975 0.7051
H 0.7590 0.9025 0.2051
H 0.8082 0.2107 0.1103
H 0.8082 0.2893 0.6103
H 0.9596 0.7126 0.2159
H 0.9596 0.7874 0.7159
O 0.0727 0.6489 0.3112
O 0.0727 0.8511 0.8112
O 0.1866 0.1334 0.9158
O 0.1866 0.3666 0.4158
O 0.8134 0.6334 0.5842
O 0.8134 0.8666 0.0842
O 0.9273 0.1489 0.1888
O 0.9273 0.3511 0.6888
F 0.3052 0.5917 0.7962
F 0.3052 0.9083 0.2962
F 0.3117 0.0821 0.5820
F 0.3117 0.4179 0.0820
F 0.4844 0.1344 0.3094
F 0.4844 0.3656 0.8094
F 0.5156 0.6344 0.1906
F 0.5156 0.8656 0.6906
F 0.6883 0.5821 0.9180
F 0.6883 0.9179 0.4180
F 0.6948 0.0917 0.7038
F 0.6948 0.4083 0.2038

Here is a relaxed NaLiAgPd crystal from Alexandria via LeMat-Bulk. Energies are from PBE-GGA.

* total magnetization: 0.0 μB per formula unit
* volume: 70.92 Å³/cell
* E_tot: -2.9725 eV per atom
* space group: F-43m (216)
* DFT formation energy: -0.153 eV per atom

Cell lengths 4.6462, 4.6462, 4.6462 Å; angles 60.00, 60.00, 60.00 degrees
Fractional coordinates of all 4 atoms:
Na 0.0000 0.0000 0.0000
Li 0.2500 0.2500 0.2500
Ag 0.7500 0.7500 0.7500
Pd 0.5000 0.5000 0.5000

Here is a relaxed Se2SF crystal from Alexandria via LeMat-Bulk. Energies are from PBE-GGA.

* total magnetization: 0.0 μB per formula unit
* raw formation energy: 0.111 eV per atom
* volume: 160.71 Å³/cell
* E_tot: -3.1311 eV per atom
* space group: I-42d (122)

Cell lengths 5.9496, 5.9496, 5.9496 Å; angles 112.67, 112.67, 103.25 degrees
Fractional coordinates of all 8 atoms:
Se 0.1028 0.6250 0.9778
Se 0.3750 0.3528 0.4778
Se 0.6472 0.1250 0.0222
Se 0.8750 0.8972 0.5222
S 0.0000 0.0000 0.0000
S 0.7500 0.2500 0.5000
F 0.2500 0.7500 0.5000
F 0.5000 0.5000 0.0000

Here is a relaxed KGeSb2Pb crystal from Alexandria via LeMat-Bulk. Energies are from PBE-GGA.

* total magnetization: 0.0 μB per formula unit
* raw formation energy: 0.360 eV per atom
* volume: 172.93 Å³/cell
* E_tot: -3.1737 eV per atom
* space group: P4/mmm (123)

Cell lengths 5.4928, 5.4928, 5.7318 Å; angles 90.00, 90.00, 90.00 degrees
Fractional coordinates of all 5 atoms:
K 0.0000 0.0000 0.0000
Ge 0.0000 0.0000 0.5000
Sb 0.0000 0.5000 0.5000
Sb 0.5000 0.0000 0.5000
Pb 0.5000 0.5000 0.0000

Here is a relaxed Y2FeNi crystal from Alexandria via LeMat-Bulk. Energies are from PBE-GGA.

* total magnetization: 2.7 μB per formula unit
* volume: 83.84 Å³/cell
* E_tot: -6.7383 eV per atom
* space group: P4mm (99)
* DFT formation energy: 0.055 eV per atom

Cell lengths 3.2491, 3.2491, 7.9415 Å; angles 90.00, 90.00, 90.00 degrees
Fractional coordinates of all 4 atoms:
Y 0.0000 0.0000 0.0000
Y 0.5000 0.5000 0.3897
Fe 0.0000 0.0000 0.6333
Ni 0.5000 0.5000 0.7686

Here is a relaxed Ac2TcAuO8 crystal from Alexandria via LeMat-Bulk. Energies are from PBE-GGA.

* total magnetization: 0.0 μB per formula unit
* raw formation energy: -1.936 eV per atom
* volume: 176.78 Å³/cell
* E_tot: -7.0636 eV per atom
* space group: P-1 (2)

Cell lengths 4.5004, 5.4434, 7.3087 Å; angles 84.07, 87.30, 83.36 degrees
Fractional coordinates of all 12 atoms:
Ac 0.1936 0.0158 0.2456
Ac 0.8064 0.9842 0.7544
Tc 0.5000 0.5000 0.5000
Au 0.5000 0.5000 0.0000
O 0.1932 0.7377 0.5589
O 0.2817 0.8442 0.9365
O 0.2990 0.4871 0.2559
O 0.3013 0.2423 0.6150
O 0.6987 0.7577 0.3850
O 0.7010 0.5129 0.7441
O 0.7183 0.1558 0.0635
O 0.8068 0.2623 0.4411

Here is a relaxed TlBAs2Se crystal from Alexandria via LeMat-Bulk. Energies are from PBE-GGA.

* total magnetization: 1.1 μB per formula unit
* raw formation energy: 1.861 eV per atom
* volume: 155.49 Å³/cell
* E_tot: -2.5048 eV per atom
* space group: P4/mmm (123)

Cell lengths 5.3331, 5.3331, 5.4667 Å; angles 90.00, 90.00, 90.00 degrees
Fractional coordinates of all 5 atoms:
Tl 0.0000 0.0000 0.0000
B 0.5000 0.5000 0.5000
As 0.0000 0.5000 0.0000
As 0.5000 0.0000 0.0000
Se 0.0000 0.0000 0.5000

Here is a relaxed Ce8IrOs2 crystal from Alexandria via LeMat-Bulk. Energies are from PBE-GGA.

* total magnetization: 0.0 μB per formula unit
* volume: 262.76 Å³/cell
* E_tot: -7.3873 eV per atom
* space group: C2/m (12)
* DFT formation energy: -0.224 eV per atom

Cell lengths 9.1397, 9.1397, 6.6552 Å; angles 99.95, 99.95, 28.71 degrees
Fractional coordinates of all 11 atoms:
Ce 0.0017 0.0017 0.2556
Ce 0.2202 0.2202 0.2739
Ce 0.3393 0.3393 0.0253
Ce 0.4068 0.4068 0.5393
Ce 0.5932 0.5932 0.4607
Ce 0.6607 0.6607 0.9747
Ce 0.7798 0.7798 0.7261
Ce 0.9983 0.9983 0.7444
Ir 0.5000 0.5000 0.0000
Os 0.1652 0.1652 0.6769
Os 0.8348 0.8348 0.3231

- The highest volume belongs to which entry?
  CuSiH8O4F6

- E_tot of number 7 (Ac2TcAuO8)?
  -7.0636 eV per atom

- The highest volume belongs to which entry?
  CuSiH8O4F6

- Look up the volume of the second one.
  376.20 Å³/cell